[1]
Density functional theory data (GGA-PBE) for crystalline NdZn2GaIr at its relaxed geometry.

## Properties
Magnetic moment   0.0 μB per formula unit
Formation enthalpy at 0 K   -0.42 eV per atom
VASP energy   -42.567 eV for the cell shown

a = 4.0469 Å, b = 4.1739 Å, c = 11.0857 Å
α = 90.00°, β = 90.00°, γ = 90.00°
Last column: nearest neighbours and their distance in Å.
Space group Imm2 (No. 44)
Asymmetric unit:
Nd: 0.0000 0.0000 0.0000  8 Zn 3.16-3.46, 4 Ga 3.18, 4 Ir 3.41-3.49
Zn: 0.0000 0.0000 0.6125  2 Zn 2.53, 1 Ga 2.55, 2 Ir 2.57
Zn: 0.0000 0.5000 0.2491  2 Zn 2.53, 2 Ga 2.56
Ga: 0.0000 0.0000 0.3828  2 Ir 2.52, 3 Zn 2.55-2.56
Ir: 0.0000 0.5000 0.7479  2 Ga 2.52, 2 Zn 2.57

[2]
Density functional theory data (GGA-PBE) for crystalline Tb6PmNd2Er at its relaxed geometry.

## Properties
Magnetic moment   0.0 μB per formula unit
Formation enthalpy at 0 K   0.12 eV per atom
VASP energy   -181.917 eV for the cell shown

a = 9.0842 Å, b = 15.1161 Å, c = 9.7457 Å
α = 90.00°, β = 98.71°, γ = 90.00°
Last column: nearest neighbours and their distance in Å.
Space group C2/c (No. 15)
Asymmetric unit:
Tb: 0.0669 0.1900 0.4431  8 Tb 3.42-3.80, 1 Nd 3.56, 1 Pm 3.67, 1 Er 3.79
Tb: 0.0996 0.3940 0.6195  4 Tb 3.25-3.52, 3 Nd 3.28-3.48, 2 Er 3.43-3.58
Tb: 0.2042 0.2233 0.8131  2 Tb 3.25-3.59, 1 Nd 3.42, 1 Er 3.46, 1 Pm 3.62
Pm: 0.0000 0.0183 0.7500  4 Nd 3.39-3.40, 4 Tb 3.62-3.67
Nd: 0.2466 0.0509 0.0427  5 Tb 3.28-3.56, 2 Pm 3.39-3.40, 1 Er 3.56
Er: 0.0000 0.4074 0.2500  8 Tb 3.43-3.79, 2 Nd 3.56

[3]
Density functional theory data (GGA-PBE) for crystalline KRuAu2 at its relaxed geometry.

## Properties
Magnetic moment   0.0 μB per formula unit
Formation enthalpy at 0 K   0.46 eV per atom
VASP energy   -30.175 eV for the cell shown

a = 10.9606 Å, b = 2.7206 Å, c = 5.4652 Å
α = 90.00°, β = 102.46°, γ = 90.00°
Last column: nearest neighbours and their distance in Å.
Space group Cm (No. 8)
Asymmetric unit:
K: 0.0000 0.0000 0.0000  2 K 2.72, 3 Au 2.96-3.00
Ru: 0.2708 0.5000 0.3956  2 Ru 2.72, 4 Au 2.86-2.87
Au: 0.0056 0.5000 0.4914  2 Au 2.72, 2 Ru 2.86, 2 K 3.00
Au: 0.2415 0.0000 0.8416  2 Au 2.72, 2 Ru 2.87, 1 K 2.96